KBa3Na8: optimized geometry, GGA-PBE.

DFT formation energy = 0.007 eV/atom
M_tot = 0.0 μB per formula unit

CIF file:
```
data_KBa3Na8
_chemical_formula_sum 'K3 Ba9 Na24'
_cell_length_a 7.2951
_cell_length_b 7.2951
_cell_length_c 36.0851
_cell_angle_alpha 90.00
_cell_angle_beta 90.00
_cell_angle_gamma 120.00
_space_group_name_H-M_alt 'R 3 m'
_space_group_IT_number 160
_space_group_name_Hall 'R 3 -2"'
loop_
_atom_site_label
_atom_site_type_symbol
_atom_site_fract_x
_atom_site_fract_y
_atom_site_fract_z
K1 K 0.0000 0.0000 0.0000
Ba1 Ba 0.0000 0.0000 0.1261
Ba2 Ba 0.0000 0.0000 0.4997
Ba3 Ba 0.0000 0.0000 0.6232
Na1 Na 0.0000 0.0000 0.3122
Na2 Na 0.0000 0.0000 0.8128
Na3 Na 0.0016 0.5008 0.0635
Na4 Na 0.1680 0.3360 0.8946
```



K2BaNa3: optimized geometry, GGA-PBE.

DFT formation energy = 0.018 eV/atom
M_tot = 0.0 μB per formula unit

CIF file:
```
data_K2BaNa3
_chemical_formula_sum 'K2 Ba1 Na3'
_cell_length_a 4.5814
_cell_length_b 4.5814
_cell_length_c 14.9768
_cell_angle_alpha 90.00
_cell_angle_beta 90.00
_cell_angle_gamma 90.00
_space_group_name_H-M_alt 'P 4/m m m'
_space_group_IT_number 123
_space_group_name_Hall '-P 4 2'
loop_
_atom_site_label
_atom_site_type_symbol
_atom_site_fract_x
_atom_site_fract_y
_atom_site_fract_z
K1 K 0.0000 0.0000 0.1657
Ba1 Ba 0.0000 0.0000 0.5000
Na1 Na 0.5000 0.5000 0.0000
Na2 Na 0.5000 0.5000 0.3325
```



Number 1: total DFT energy (no corrections) -1.445 eV per atom. Number 2: total DFT energy (no corrections) -1.328 eV per atom.